Er2ScN3 | PBE | optimized geometry

a b c (Å): 3.3514 4.7570 10.0608
angles (deg): 90.00 90.00 90.00
Space group Immm (No. 71)
One atom of each set of equivalent atoms:
Er1 0.0000 0.0000 0.1656 (multiplicity 4)
Sc1 0.0000 0.0000 0.5000 (multiplicity 2)
N1 0.0000 0.5000 0.1597 (multiplicity 4)
N2 0.0000 0.5000 0.5000 (multiplicity 2)

Values from the calculation:
The value obtained for the total energy is -0.62701 Ry per atom. The calculation puts the mass density at 8.727 g/cm³. Its formation energy (no corrections) is -10.75 eV/f.u. Its size of the total moment is 0.00 μB per cell.

Na2LaNi | PBE | optimized geometry

a b c (Å): 4.0996 4.0996 24.8991
angles (deg): 90.00 90.00 90.00
Space group I-42d (No. 122)
One atom of each set of equivalent atoms:
Na1 0.2212 0.2500 0.1250 (multiplicity 8)
La1 0.0000 0.0000 0.5000 (multiplicity 4)
Ni1 0.0000 0.0000 0.0000 (multiplicity 4)

Values from the calculation:
The value obtained for the total energy is -0.23173 Ry per atom. The calculation puts the mass density at 3.866 g/cm³. Its energy of formation is 0.18 eV per atom. Its size of the total moment is 0.00 μB per cell.